## Rb4Tb3SmTe8 (PBE)

Data for crystalline Rb4Tb3SmTe8 at its relaxed geometry.

Unit cell a=9.1144 b=9.1144 c=25.6774 alpha=90.00 beta=90.00 gamma=120.00
Space group R-3m (No. 166, hexagonal axes)
Asymmetric unit:
Rb: 0.0000 0.0000 0.0000 (multiplicity 3)
Rb: 0.0000 0.5000 0.0000 (multiplicity 9)
Tb: 0.0000 0.5000 0.5000 (multiplicity 9)
Sm: 0.0000 0.0000 0.5000 (multiplicity 3)
Te: 0.0000 0.0000 0.2332 (multiplicity 6)
Te: 0.0033 0.5017 0.7663 (multiplicity 18)

Energy relative to the elements, uncorrected   -1.39 eV/atom

***

## Zn2SbMo (PBE)

Data for crystalline Zn2SbMo at its relaxed geometry.

Unit cell a=9.824 b=2.897 c=5.010 alpha=90.00 beta=96.72 gamma=90.00
Space group Cm (No. 8)
Asymmetric unit:
Zn: 0.000 0.000 0.000 (multiplicity 2)
Zn: 0.241 0.000 0.802 (multiplicity 2)
Sb: 0.278 0.500 0.322 (multiplicity 2)
Mo: 0.022 0.500 0.525 (multiplicity 2)

Energy relative to the elements, uncorrected   0.26 eV/atom

***

## LiSn2As2 (PBE)

Data for crystalline LiSn2As2 at its relaxed geometry.

Unit cell a=5.344 b=5.344 c=9.060 alpha=90.00 beta=90.00 gamma=90.00
Space group I4/mmm (No. 139)
Asymmetric unit:
Li: 0.000 0.000 0.000 (multiplicity 2)
Sn: 0.000 0.000 0.340 (multiplicity 4)
As: 0.000 0.500 0.250 (multiplicity 4)

Energy of formation from the pure elements   -0.05 eV/atom
Polymorph energy (0 for the lowest one)   203.0 meV per atom

***

## LaTbPr2Tl4 (PBE)

Data for crystalline LaTbPr2Tl4 at its relaxed geometry.

Unit cell a=5.5361 b=5.5361 c=27.2088 alpha=90.00 beta=90.00 gamma=120.00
Space group R-3m (No. 166, hexagonal axes)
Asymmetric unit:
La: 0.0000 0.0000 0.0000 (multiplicity 3)
Tb: 0.0000 0.0000 0.5000 (multiplicity 3)
Pr: 0.0000 0.0000 0.2492 (multiplicity 6)
Tl: 0.0000 0.0000 0.1268 (multiplicity 6)
Tl: 0.0000 0.0000 0.3770 (multiplicity 6)

Energy of formation from the pure elements   -0.38 eV/atom

***

## Cd2BiPb (PBE)

Data for crystalline Cd2BiPb at its relaxed geometry.

Unit cell a=4.754 b=4.754 c=4.947 alpha=90.00 beta=90.00 gamma=90.00
Space group P4/mmm (No. 123)
Asymmetric unit:
Cd: 0.000 0.500 0.000 (multiplicity 2)
Bi: 0.000 0.000 0.500 (multiplicity 1)
Pb: 0.500 0.500 0.500 (multiplicity 1)

Energy of formation from the pure elements   0.06 eV/atom
Polymorph energy (0 for the lowest one)   0.0 meV per atom

***

## Sm4HoTh3S8 (PBE)

Data for crystalline Sm4HoTh3S8 at its relaxed geometry.

Unit cell a=7.9868 b=7.9868 c=19.7596 alpha=90.00 beta=90.00 gamma=120.00
Space group R-3m (No. 166, hexagonal axes)
Asymmetric unit:
Sm: 0.0000 0.0000 0.0000 (multiplicity 3)
Sm: 0.0000 0.5000 0.0000 (multiplicity 9)
Ho: 0.0000 0.0000 0.5000 (multiplicity 3)
Th: 0.0000 0.5000 0.5000 (multiplicity 9)
S: 0.0000 0.0000 0.2519 (multiplicity 6)
S: 0.0073 0.5037 0.2497 (multiplicity 18)

Energy relative to the elements, uncorrected   -1.94 eV/atom

***

## ErPd2Au3 (PBE)

Data for crystalline ErPd2Au3 at its relaxed geometry.

Unit cell a=7.150 b=8.799 c=7.417 alpha=90.00 beta=103.67 gamma=90.00
Space group C2/c (No. 15)
Asymmetric unit:
Er: 0.000 0.074 0.250 (multiplicity 4)
Pd: 0.123 0.218 0.619 (multiplicity 8)
Au: 0.000 0.395 0.250 (multiplicity 4)
Au: 0.223 0.404 0.981 (multiplicity 8)

Energy of formation from the pure elements   -0.48 eV/atom

***

## SbHSeN2 (PBE)

Data for crystalline SbHSeN2 at its relaxed geometry.

Unit cell a=3.941 b=3.941 c=5.826 alpha=90.00 beta=90.00 gamma=90.00
Space group P4/mmm (No. 123)
Asymmetric unit:
Sb: 0.000 0.000 0.000 (multiplicity 1)
H: 0.500 0.500 0.500 (multiplicity 1)
Se: 0.000 0.000 0.500 (multiplicity 1)
N: 0.000 0.500 0.000 (multiplicity 2)

Polymorph energy (0 for the lowest one)   28.6 meV per atom

***

## HfPaTl2O6 (PBE)

Data for crystalline HfPaTl2O6 at its relaxed geometry.

Unit cell a=10.465 b=6.049 c=6.046 alpha=90.00 beta=125.26 gamma=90.00
Space group C2/m (No. 12)
Asymmetric unit:
Hf: 0.000 0.000 0.000 (multiplicity 2)
Pa: 0.000 0.500 0.500 (multiplicity 2)
Tl: 0.250 0.000 0.749 (multiplicity 4)
O: 0.015 0.245 0.260 (multiplicity 8)
O: 0.245 0.000 0.214 (multiplicity 4)

Energy relative to the elements, uncorrected   -2.48 eV/atom

***

## U3AlSe6 (PBE)

Data for crystalline U3AlSe6 at its relaxed geometry.

Unit cell a=11.223 b=13.794 c=6.805 alpha=90.00 beta=90.00 gamma=90.00
Space group Cmc2_1 (No. 36)
Asymmetric unit:
U: 0.000 0.095 0.000 (multiplicity 4)
U: 0.177 0.405 0.104 (multiplicity 8)
Al: 0.000 0.296 0.646 (multiplicity 4)
Se: 0.000 0.278 0.295 (multiplicity 4)
Se: 0.000 0.460 0.788 (multiplicity 4)
Se: 0.163 0.038 0.301 (multiplicity 8)
Se: 0.171 0.232 0.822 (multiplicity 8)

Energy relative to the elements, uncorrected   -1.00 eV/atom

***

## CaRe2Ir (PBE)

Data for crystalline CaRe2Ir at its relaxed geometry.

Unit cell a=5.316 b=9.108 c=2.745 alpha=90.00 beta=90.00 gamma=90.00
Space group Cmmm (No. 65)
Asymmetric unit:
Ca: 0.000 0.000 0.000 (multiplicity 2)
Re: 0.250 0.250 0.500 (multiplicity 4)
Ir: 0.000 0.500 0.000 (multiplicity 2)

Energy of formation from the pure elements   0.58 eV/atom
Polymorph energy (0 for the lowest one)   339.7 meV per atom

***

## Pr3Y2In2 (PBE)

Data for crystalline Pr3Y2In2 at its relaxed geometry.

Unit cell a=9.585 b=5.544 c=8.794 alpha=90.00 beta=111.45 gamma=90.00
Space group C2/m (No. 12)
Asymmetric unit:
Pr: 0.000 0.000 0.000 (multiplicity 2)
Pr: 0.156 0.000 0.467 (multiplicity 4)
Y: 0.076 0.500 0.729 (multiplicity 4)
In: 0.215 0.500 0.144 (multiplicity 4)

Energy of formation from the pure elements   -0.27 eV/atom
Polymorph energy (0 for the lowest one)   0.0 meV per atom

***

Looking at total magnetization for the records above, in order, we have 0.00, 0.00, 0.00, 0.00, 0.00, 0.00, 0.00, 0.31, 0.00, 9.01, 0.00, 0.00 μB/f.u..